Density functional theory data (PBE-GGA) for an optimized crystal structure of MgIr2Rh.

Summary:
Theoretical density: 14.29 g/cm³
Formation energy from the elements: -0.15 eV per atom

a = 2.781 Å, b = 3.863 Å, c = 5.532 Å
α = 90.00°, β = 90.00°, γ = 90.00°
Sites, in units of the cell vectors:
Ir  0.000  0.000  0.010
Ir  0.500  0.500  0.235
Mg  0.000  0.000  0.507
Rh  0.500  0.500  0.749

Density functional theory data (PBE-GGA) for an optimized crystal structure of BaRuW2.

Summary:
Theoretical density: 12.72 g/cm³
Formation energy from the elements: 1.09 eV per atom

a = 10.567 Å, b = 10.567 Å, c = 10.567 Å
α = 16.11°, β = 16.11°, γ = 16.11°
Sites, in units of the cell vectors:
Ba  0.250  0.250  0.250
Ru  0.750  0.750  0.750
W  0.016  0.016  0.016
W  0.484  0.484  0.484

Density functional theory data (PBE-GGA) for an optimized crystal structure of Cr2SbTe2.

Summary:
Theoretical density: 6.16 g/cm³
ΔE_f (raw): 305 meV per atom

a = 5.225 Å, b = 5.225 Å, c = 6.018 Å
α = 64.27°, β = 64.27°, γ = 90.00°
Site moments in Bohr magnetons follow the coordinates.
Sites, in units of the cell vectors:
Sb  0.000  0.000  0.000  -0.22
Te  0.334  0.334  0.332  -0.12
Te  0.666  0.666  0.668  -0.12
Cr  0.750  0.250  0.500  3.52
Cr  0.250  0.750  0.500  3.52

Density functional theory data (PBE-GGA) for an optimized crystal structure of Pm5Ho4Tm.

Summary:
Theoretical density: 7.94 g/cm³
Formation energy from the elements: 0.02 eV per atom

a = 3.596 Å, b = 3.596 Å, c = 25.127 Å
α = 90.00°, β = 90.00°, γ = 90.00°
Sites, in units of the cell vectors:
Pm  0.500  0.500  0.099
Pm  0.500  0.500  0.300
Pm  0.500  0.500  0.500
Pm  0.500  0.500  0.700
Pm  0.500  0.500  0.901
Ho  0.000  0.000  0.199
Ho  0.000  0.000  0.400
Ho  0.000  0.000  0.600
Ho  0.000  0.000  0.801
Tm  0.000  0.000  0.000

Density functional theory data (PBE-GGA) for an optimized crystal structure of BaRu2Pb.

Summary:
Theoretical density: 9.71 g/cm³
Formation energy from the elements: 0.40 eV per atom

a = 3.328 Å, b = 3.328 Å, c = 8.437 Å
α = 90.00°, β = 90.00°, γ = 90.00°
Site moments in Bohr magnetons follow the coordinates.
Sites, in units of the cell vectors:
Ba  0.000  0.000  0.463  -0.02
Pb  0.500  0.500  0.817  0.00
Ru  0.000  0.000  0.041  0.58
Ru  0.500  0.500  0.179  0.45

Density functional theory data (PBE-GGA) for an optimized crystal structure of HfSc3Co.

Summary:
Theoretical density: 5.53 g/cm³
Formation energy from the elements: 0.14 eV per atom

a = 4.818 Å, b = 4.818 Å, c = 4.818 Å
α = 90.00°, β = 90.00°, γ = 90.00°
Sites, in units of the cell vectors:
Sc  0.000  0.500  0.000
Sc  0.000  0.000  0.500
Sc  0.500  0.000  0.000
Co  0.000  0.000  0.000
Hf  0.500  0.500  0.500

Density functional theory data (PBE-GGA) for an optimized crystal structure of KCr2Ir.

Summary:
Theoretical density: 6.13 g/cm³
Formation energy from the elements: 0.65 eV per atom

a = 4.709 Å, b = 4.709 Å, c = 7.122 Å
α = 81.21°, β = 81.21°, γ = 35.62°
Site moments in Bohr magnetons follow the coordinates.
Sites, in units of the cell vectors:
Cr  0.041  0.041  0.883  2.94
Cr  0.745  0.745  0.732  -2.67
Ir  0.471  0.471  0.623  0.10
K  0.244  0.244  0.263  0.02

Density functional theory data (PBE-GGA) for an optimized crystal structure of Li2AgAsS4.

Summary:
Theoretical density: 3.15 g/cm³
ΔE_f (raw): -574 meV per atom

a = 5.690 Å, b = 5.690 Å, c = 6.649 Å
α = 115.34°, β = 115.34°, γ = 89.99°
Sites, in units of the cell vectors:
Li  0.750  0.250  0.500
Li  0.250  0.750  0.500
Ag  0.000  0.000  0.000
As  0.500  0.500  0.000
S  0.597  0.597  0.753
S  0.403  0.845  0.248
S  0.845  0.403  0.248
S  0.155  0.155  0.753

Density functional theory data (PBE-GGA) for an optimized crystal structure of HfZn2Pt2.

Summary:
Theoretical density: 12.86 g/cm³
Formation energy from the elements: -0.65 eV per atom

a = 4.350 Å, b = 4.350 Å, c = 9.552 Å
α = 88.40°, β = 90.00°, γ = 90.00°
Sites, in units of the cell vectors:
Hf  0.750  0.240  0.685
Hf  0.250  0.760  0.315
Zn  0.750  0.271  0.009
Zn  0.250  0.743  0.684
Zn  0.250  0.729  0.991
Zn  0.750  0.257  0.316
Pt  0.250  0.251  0.478
Pt  0.750  0.764  0.152
Pt  0.250  0.236  0.848
Pt  0.750  0.749  0.522

Density functional theory data (PBE-GGA) for an optimized crystal structure of KCuC2.

Summary:
Theoretical density: 4.02 g/cm³
Formation energy from the elements: 2.61 eV per atom

a = 4.197 Å, b = 4.197 Å, c = 4.197 Å
α = 60.00°, β = 60.00°, γ = 60.00°
Sites, in units of the cell vectors:
K  0.000  0.000  0.000
C  0.250  0.250  0.250
C  0.750  0.750  0.750
Cu  0.500  0.500  0.500

Density functional theory data (PBE-GGA) for an optimized crystal structure of Be2MoAs.

Summary:
Theoretical density: 6.57 g/cm³
Formation energy from the elements: -0.06 eV per atom

a = 4.716 Å, b = 4.716 Å, c = 4.716 Å
α = 137.28°, β = 137.25°, γ = 62.03°
Sites, in units of the cell vectors:
Be  0.000  0.000  0.000
Be  0.750  0.250  0.500
Mo  0.500  0.500  0.000
As  0.250  0.750  0.500

Density functional theory data (PBE-GGA) for an optimized crystal structure of ErUS2O.

Summary:
Theoretical density: 8.28 g/cm³
ΔE_f (raw): -2255 meV per atom

a = 3.811 Å, b = 3.811 Å, c = 13.409 Å
α = 90.00°, β = 90.00°, γ = 90.00°
Site moments in Bohr magnetons follow the coordinates.
Sites, in units of the cell vectors:
Er  0.500  0.000  0.106  0.02
Er  0.000  0.500  0.894  0.02
U  0.500  0.000  0.600  2.38
U  0.000  0.500  0.400  2.38
S  0.000  0.500  0.693  -0.04
S  0.000  0.500  0.103  0.00
S  0.500  0.000  0.897  0.00
S  0.500  0.000  0.307  -0.04
O  0.000  0.000  0.500  -0.06
O  0.500  0.500  0.500  -0.06

| no. | total moment (μB/cell) |
| --- | --- |
| 1 | 0.00 |
| 2 | 0.00 |
| 3 | 7.00 |
| 4 | 0.00 |
| 5 | 1.03 |
| 6 | 0.00 |
| 7 | 0.66 |
| 8 | 0.00 |
| 9 | 0.00 |
| 10 | 0.00 |
| 11 | 0.00 |
| 12 | 4.95 |